# 1
VASP calculation (PBE) on crystalline LaMgAs2 at its relaxed geometry.

Energy of formation from the pure elements = -278 kJ/mol of formula units

abc: 3.901 3.248 7.598
angles: 78.53 90.00 90.00
Sites, in units of the cell vectors:
As 0.000 0.900 0.987
As 0.000 0.600 0.513
La 0.500 0.250 0.250
Mg 0.500 0.750 0.750

=====

# 2
VASP calculation (PBE) on crystalline LiNdDy at its relaxed geometry.

Energy of formation from the pure elements = 23 kJ/mol of formula units
Offset from the most stable computed form = 0 meV per atom

abc: 3.557 3.557 20.548
angles: 121.23 121.23 60.03
Sites, in units of the cell vectors:
Li 0.968 0.968 0.567
Li 0.032 0.032 0.433
Nd 0.645 0.645 0.905
Nd 0.355 0.355 0.095
Dy 0.960 0.960 0.729
Dy 0.040 0.040 0.271

=====

# 3
VASP calculation (PBE) on crystalline YFeRu2 at its relaxed geometry.

Energy of formation from the pure elements = 70 kJ/mol of formula units
Offset from the most stable computed form = 111 meV per atom

abc: 4.095 2.985 5.706
angles: 76.18 90.00 90.00
Sites, in units of the cell vectors:
Fe 0.500 0.750 0.750
Ru 0.000 0.935 0.954
Ru 0.000 0.565 0.546
Y 0.500 0.250 0.250

=====

# 4
VASP calculation (PBE) on crystalline CaLa2MgPd at its relaxed geometry.

Energy of formation from the pure elements = -115 kJ/mol of formula units
Offset from the most stable computed form = 0 meV per atom

abc: 5.705 5.705 5.279
angles: 90.00 90.00 90.00
Sites, in units of the cell vectors:
Ca 0.500 0.500 0.500
Mg 0.000 0.000 0.500
Pd 0.000 0.000 0.000
La 0.000 0.500 0.000
La 0.500 0.000 0.000

=====

# 5
VASP calculation (PBE) on crystalline LaThGa2 at its relaxed geometry.

Energy of formation from the pure elements = -112 kJ/mol of formula units
Offset from the most stable computed form = 248 meV per atom

abc: 3.833 3.833 9.235
angles: 78.02 78.02 60.00
Sites, in units of the cell vectors:
Ga 0.749 0.749 0.753
Ga 0.251 0.251 0.247
Th 0.000 0.000 0.000
La 0.500 0.500 0.500

=====

# 6
VASP calculation (PBE) on crystalline NdHoNb at its relaxed geometry.

Energy of formation from the pure elements = 77 kJ/mol of formula units

abc: 4.974 5.252 6.904
angles: 90.68 111.12 90.00
Sites, in units of the cell vectors:
Nb 0.750 0.166 0.500
Nb 0.250 0.834 0.500
Nd 0.604 0.721 0.209
Nd 0.396 0.279 0.791
Ho 0.892 0.726 0.783
Ho 0.108 0.274 0.217

=====

# 7
VASP calculation (PBE) on crystalline Tb15Er2Th2 at its relaxed geometry.

Energy of formation from the pure elements = 555 kJ/mol of formula units

abc: 8.745 8.745 8.745
angles: 78.50 78.50 78.50
Sites, in units of the cell vectors:
Tb 0.000 0.000 0.500
Tb 0.500 0.000 0.000
Tb 0.000 0.500 0.000
Tb 0.300 0.700 0.000
Tb 0.000 0.300 0.700
Tb 0.700 0.000 0.300
Tb 0.000 0.700 0.300
Tb 0.300 0.000 0.700
Tb 0.700 0.300 0.000
Tb 0.627 0.627 0.149
Tb 0.149 0.627 0.627
Tb 0.627 0.149 0.627
Tb 0.373 0.373 0.851
Tb 0.851 0.373 0.373
Tb 0.373 0.851 0.373
Er 0.314 0.314 0.314
Er 0.686 0.686 0.686
Th 0.087 0.087 0.087
Th 0.913 0.913 0.913

=====

# 8
VASP calculation (PBE) on crystalline Pr6InAg at its relaxed geometry.

Energy of formation from the pure elements = -128 kJ/mol of formula units
Offset from the most stable computed form = 0 meV per atom

abc: 5.326 5.326 9.892
angles: 74.35 74.35 89.83
Sites, in units of the cell vectors:
Pr 0.748 0.748 0.504
Pr 0.609 0.109 0.781
Pr 0.109 0.609 0.781
Pr 0.391 0.891 0.219
Pr 0.252 0.252 0.496
Pr 0.891 0.391 0.219
In 0.500 0.500 0.000
Ag 0.000 0.000 0.000

=====

# 9
VASP calculation (PBE) on crystalline SmSi2Ag6 at its relaxed geometry.

Raw formation energy = -1.74 eV/f.u.

abc: 4.214 4.214 9.435
angles: 90.00 90.00 90.00
Sites, in units of the cell vectors:
Sm 0.000 0.000 0.000
Si 0.500 0.500 0.121
Si 0.500 0.500 0.879
Ag 0.000 0.500 0.281
Ag 0.500 0.000 0.281
Ag 0.000 0.500 0.719
Ag 0.500 0.000 0.719
Ag 0.500 0.500 0.500
Ag 0.000 0.000 0.500

=====

# 10
VASP calculation (PBE) on crystalline Sm3Y5Tl2 at its relaxed geometry.

Energy of formation from the pure elements = 99 kJ/mol of formula units

abc: 6.511 10.633 10.633
angles: 93.71 72.17 72.17
Sites, in units of the cell vectors:
Sm 0.250 0.000 0.000
Sm 0.750 0.000 0.000
Sm 0.374 0.352 0.900
Sm 0.626 0.648 0.100
Sm 0.874 0.900 0.352
Sm 0.126 0.100 0.648
Y 0.250 0.500 0.500
Y 0.750 0.500 0.500
Y 0.504 0.746 0.746
Y 0.996 0.254 0.254
Y 0.496 0.254 0.254
Y 0.004 0.746 0.746
Y 0.108 0.559 0.225
Y 0.892 0.441 0.775
Y 0.608 0.225 0.559
Y 0.392 0.775 0.441
Tl 0.134 0.722 0.011
Tl 0.866 0.278 0.989
Tl 0.634 0.011 0.722
Tl 0.366 0.989 0.278

=====

# 11
VASP calculation (PBE) on crystalline TaV2WBr at its relaxed geometry.

Raw formation energy = 7.18 eV/f.u.

abc: 4.344 4.770 4.344
angles: 90.00 90.00 90.00
Sites, in units of the cell vectors:
V 0.000 0.000 0.500
V 0.500 0.000 0.000
Br 0.000 0.000 0.000
W 0.500 0.500 0.500
Ta 0.000 0.500 0.000

=====

# 12
VASP calculation (PBE) on crystalline Ag5Hg at its relaxed geometry.

Energy of formation from the pure elements = 23 kJ/mol of formula units
Offset from the most stable computed form = 2 meV per atom

abc: 5.755 5.755 11.571
angles: 141.52 141.52 29.84
Sites, in units of the cell vectors:
Ag 0.998 0.998 0.000
Ag 0.109 0.109 0.716
Ag 0.329 0.329 0.664
Ag 0.445 0.445 0.392
Ag 0.675 0.675 0.340
Hg 0.777 0.777 0.054

=====

# 13
VASP calculation (PBE) on crystalline Pm4NdErTm2 at its relaxed geometry.

Energy of formation from the pure elements = 14 kJ/mol of formula units

abc: 3.606 6.222 11.864
angles: 79.89 90.00 90.00
Sites, in units of the cell vectors:
Pm 0.000 0.750 0.751
Pm 0.000 0.250 0.249
Pm 0.500 0.752 0.246
Pm 0.500 0.248 0.754
Nd 0.000 0.500 0.500
Er 0.500 0.500 0.000
Tm 0.000 0.000 0.000
Tm 0.500 0.000 0.500

=====

# 14
VASP calculation (PBE) on crystalline Cd6Ag10Au at its relaxed geometry.

Energy of formation from the pure elements = -9 kJ/mol of formula units

abc: 5.799 8.136 8.136
angles: 120.00 90.00 90.00
Sites, in units of the cell vectors:
Cd 0.668 0.341 0.341
Cd 0.668 0.000 0.659
Cd 0.668 0.659 0.000
Cd 0.332 0.659 0.659
Cd 0.332 0.000 0.341
Cd 0.332 0.341 0.000
Ag 0.844 0.686 0.686
Ag 0.844 0.000 0.314
Ag 0.844 0.314 0.000
Ag 0.156 0.314 0.314
Ag 0.156 0.000 0.686
Ag 0.156 0.686 0.000
Ag 0.500 0.333 0.667
Ag 0.500 0.667 0.333
Ag 0.000 0.667 0.333
Ag 0.000 0.333 0.667
Au 0.500 0.000 0.000

=====

# 15
VASP calculation (PBE) on crystalline YFe2 at its relaxed geometry.

Energy of formation from the pure elements = 159 kJ/mol of formula units

abc: 6.324 6.324 4.848
angles: 90.00 90.00 120.00
Sites, in units of the cell vectors:
Y 0.000 0.000 0.500
Y 0.333 0.667 0.000
Y 0.667 0.333 0.000
Fe 0.000 0.210 0.000
Fe 0.000 0.484 0.500
Fe 0.210 0.000 0.000
Fe 0.790 0.790 0.000
Fe 0.484 0.000 0.500
Fe 0.516 0.516 0.500

=====

# 16
VASP calculation (PBE) on crystalline ZrBe3Se at its relaxed geometry.

Raw formation energy = 8.53 eV/f.u.
Offset from the most stable computed form = 897 meV per atom

abc: 4.754 4.754 4.754
angles: 90.00 90.00 90.00
Sites, in units of the cell vectors:
Be 0.000 0.500 0.000
Be 0.000 0.000 0.500
Be 0.500 0.000 0.000
Se 0.500 0.500 0.500
Zr 0.000 0.000 0.000

=====

# 17
VASP calculation (PBE) on crystalline LaTiS2Cl at its relaxed geometry.

Raw formation energy = -2.83 eV/f.u.
Offset from the most stable computed form = 931 meV per atom

abc: 5.532 5.532 5.355
angles: 90.00 90.00 90.00
Sites, in units of the cell vectors:
Cl 0.000 0.000 0.500
S 0.000 0.500 0.000
S 0.500 0.000 0.000
Ti 0.500 0.500 0.500
La 0.000 0.000 0.000

=====

# 18
VASP calculation (PBE) on crystalline TcIr2S at its relaxed geometry.

Raw formation energy = 2.09 eV/f.u.
Offset from the most stable computed form = 0 meV per atom

abc: 5.495 5.495 6.543
angles: 65.17 65.17 90.00
Sites, in units of the cell vectors:
S 0.500 0.500 0.000
S 0.250 0.750 0.500
Ir 0.605 0.125 0.250
Ir 0.145 0.625 0.250
Ir 0.375 0.395 0.750
Ir 0.875 0.855 0.750
Tc 0.000 0.000 0.000
Tc 0.750 0.250 0.500

=====

no.,total magnetic moment (μB per formula unit)
1,0.00
2,0.00
3,3.81
4,0.00
5,0.00
6,0.00
7,0.00
8,0.00
9,0.00
10,0.00
11,0.00
12,0.00
13,0.00
14,0.00
15,4.40
16,0.00
17,1.99
18,0.00